{
  "formula": "K2NaNi2F7",
  "functional": "PBE with a Hubbard U",
  "state": "relaxed",
  "dos_ef_per_ev_atom": 0.00,
  "energy_ev_per_atom": -4.297,
  "space_group": "I4/mmm (139)",
  "lattice": [[-2.0139, 2.0139, 10.5548], [2.0139, -2.0139, 10.5548], [2.0139, 2.0139, -10.5548]],
  "species": ["K", "K", "Na", "Ni", "Ni", "F", "F", "F", "F", "F", "F", "F"],
  "frac_coords": [[0.1841, 0.1841, 0.0000], [0.8159, 0.8159, 0.0000], [0.0000, 0.0000, 0.0000], [0.4053, 0.4053, 0.0000], [0.5947, 0.5947, 0.0000], [0.0914, 0.5914, 0.5000], [0.3094, 0.3094, 0.0000], [0.4086, 0.9086, 0.5000], [0.5000, 0.5000, 0.0000], [0.5914, 0.0914, 0.5000], [0.6906, 0.6906, 0.0000], [0.9086, 0.4086, 0.5000]]
}